Entry 1:
This record from Alexandria via LeMat-Bulk describes a relaxed structure of AlSi2As. The functional is PBE-GGA.

Computed properties:
DOS(E_F) = 0.236 states/eV/atom
formation energy (no corrections) = 0.381 eV/atom
excess energy over the best structure of this formula in the dataset = 1.21 eV per formula unit
DFT total energy = -4.428 eV/atom

Cell and atoms, written as extended XYZ:
```
4
Lattice="-1.861 0.231 2.087 -0.674 -2.596 -0.822 5.680 -3.191 5.417" Properties=species:S:1:pos:R:3 pbc="T T T"
Al 0.152 -1.980 1.987
Si 2.692 -1.512 2.567
Si 0.148 -0.083 0.141
As 2.992 -3.576 4.695
```

---

Entry 2:
This record from Alexandria via LeMat-Bulk describes a relaxed structure of AlSiAs. The functional is PBE-GGA.

Computed properties:
DOS(E_F) = 0.407 states/eV/atom
formation energy (no corrections) = 0.319 eV/atom
excess energy over the best structure of this formula in the dataset = 0.16 eV per formula unit
DFT total energy = -4.286 eV/atom

Cell and atoms, written as extended XYZ:
```
3
Lattice="-0.067 -0.371 -2.890 1.347 -1.956 1.690 -6.382 -3.842 0.641" Properties=species:S:1:pos:R:3 pbc="T T T"
Si -4.180 -3.659 -0.903
Al -6.335 -3.814 0.637
As -0.969 -2.538 0.349
```

---

Entry 3:
This record from Alexandria via LeMat-Bulk describes a relaxed structure of AlSi2As. The functional is PBE-GGA.

Computed properties:
DOS(E_F) = 0.176 states/eV/atom
formation energy (no corrections) = 0.347 eV/atom
excess energy over the best structure of this formula in the dataset = 1.08 eV per formula unit
DFT total energy = -4.462 eV/atom

Cell and atoms, written as extended XYZ:
```
4
Lattice="8.831 -0.149 -0.088 8.364 2.838 -0.088 8.364 1.308 2.520" Properties=species:S:1:pos:R:3 pbc="T T T"
Al 12.949 2.025 1.188
Si 25.183 3.938 2.310
Si 6.343 0.992 0.582
As 19.419 3.036 1.782
```

---

Entry 4:
This record from Alexandria via LeMat-Bulk describes a relaxed structure of AlSiAs. The functional is PBE-GGA.

Computed properties:
DOS(E_F) = 0.548 states/eV/atom
formation energy (no corrections) = 0.274 eV/atom
excess energy over the best structure of this formula in the dataset = 0.03 eV per formula unit
DFT total energy = -4.331 eV/atom

Cell and atoms, written as extended XYZ:
```
3
Lattice="-4.379 0.452 1.913 0.618 -2.586 -3.997 0.424 -2.203 1.491" Properties=species:S:1:pos:R:3 pbc="T T T"
As -2.572 -1.297 0.442
Al 0.141 -0.733 0.496
Si -0.906 -2.307 -1.530
```

---

Entry 5:
This record from Alexandria via LeMat-Bulk describes a relaxed structure of AlSi2As. The functional is PBE-GGA.

Computed properties:
DOS(E_F) = 0.620 states/eV/atom
formation energy (no corrections) = 0.452 eV/atom
excess energy over the best structure of this formula in the dataset = 1.50 eV per formula unit
DFT total energy = -4.358 eV/atom

Cell and atoms, written as extended XYZ:
```
4
Lattice="4.495 -0.625 -0.105 1.699 -4.110 -0.912 2.093 -0.764 -3.955" Properties=species:S:1:pos:R:3 pbc="T T T"
As 4.144 -2.749 -2.486
Si 6.216 -4.124 -3.729
Si 2.072 -1.375 -1.243
Al 0.000 0.000 0.000
```

---

Entry 6:
This record from Alexandria via LeMat-Bulk describes a relaxed structure of AlSiAs. The functional is PBE-GGA.

Computed properties:
DOS(E_F) = 0.439 states/eV/atom
formation energy (no corrections) = 0.292 eV/atom
excess energy over the best structure of this formula in the dataset = 0.08 eV per formula unit
DFT total energy = -4.313 eV/atom

Cell and atoms, written as extended XYZ:
```
3
Lattice="-2.723 0.927 4.498 -2.977 -3.363 2.885 4.696 0.644 -2.456" Properties=species:S:1:pos:R:3 pbc="T T T"
As -1.819 -0.778 2.357
Al -0.042 -0.018 0.054
Si -3.839 -1.641 4.973
```

---

Entry 7:
This record from Alexandria via LeMat-Bulk describes a relaxed structure of SrAl2SiAs. The functional is PBE-GGA.

Computed properties:
DOS(E_F) = 0.645 states/eV/atom
formation energy (no corrections) = 0.182 eV/atom
DFT total energy = -3.665 eV/atom

Cell and atoms, written as extended XYZ:
```
5
Lattice="4.747 0.000 0.000 0.000 5.877 0.000 0.000 0.000 4.747" Properties=species:S:1:pos:R:3 pbc="T T T"
As 2.374 2.939 2.374
Si 0.000 0.000 0.000
Al 2.374 0.000 0.000
Al 0.000 0.000 2.374
Sr 0.000 2.939 0.000
```

---

Entry 8:
This record from Alexandria via LeMat-Bulk describes a relaxed structure of AlTlSiAs2. The functional is PBE-GGA.

Computed properties:
DOS(E_F) = 0.517 states/eV/atom
formation energy (no corrections) = 0.617 eV/atom
DFT total energy = -3.549 eV/atom

Cell and atoms, written as extended XYZ:
```
5
Lattice="4.876 0.000 0.000 0.000 5.295 0.000 0.000 0.000 4.876" Properties=species:S:1:pos:R:3 pbc="T T T"
As 0.000 0.000 2.438
As 2.438 0.000 0.000
Si 0.000 0.000 0.000
Al 2.438 2.647 2.438
Tl 0.000 2.647 0.000
```

---

Entry 9:
This record from Alexandria via LeMat-Bulk describes a relaxed structure of SmAlAs. The functional is PBE-GGA.

Computed properties:
E_form = -0.7002 eV/atom
DOS(E_F) = 0.147 states/eV/atom
DFT total energy = -5.071 eV/atom

Cell and atoms, written as extended XYZ:
```
6
Lattice="4.810 0.000 0.000 2.405 4.165 0.000 2.405 1.388 7.865" Properties=species:S:1:pos:R:3 pbc="T T T"
Sm 4.810 2.777 1.832
Sm 4.810 2.777 6.032
Al 2.405 1.388 3.688
Al 7.215 4.165 4.177
As 7.215 4.165 6.679
As 2.405 1.388 1.185
```

---

Entry 10:
This record from Alexandria via LeMat-Bulk describes a relaxed structure of Sm6AlTe3As2. The functional is PBE-GGA.

Computed properties:
DOS(E_F) = 0.306 states/eV/atom
formation energy (no corrections) = -1.285 eV/atom
DFT total energy = -5.517 eV/atom

Cell and atoms, written as extended XYZ:
```
12
Lattice="4.273 0.000 0.000 0.000 8.874 0.230 -2.136 -2.646 9.194" Properties=species:S:1:pos:R:3 pbc="T T T"
Te 2.136 4.437 0.115
Te 0.000 6.491 3.263
Te 2.136 -0.263 6.161
Sm 2.136 0.021 3.019
Sm 2.136 4.093 9.262
Sm 0.000 6.206 6.405
Sm 2.136 4.112 3.318
Sm 0.000 2.135 0.162
Sm 0.000 2.116 6.106
As 0.000 2.086 3.159
As 2.136 4.142 6.265
Al 2.136 0.000 0.000
```

---

Entry 11:
This record from Alexandria via LeMat-Bulk describes a relaxed structure of AlSn2As. The functional is PBE-GGA.

Computed properties:
E_form = 0.0224 eV/atom
DOS(E_F) = 0.000 states/eV/atom
excess energy over the best structure of this formula in the dataset = 0.00 eV per formula unit
DFT total energy = -4.077 eV/atom

Cell and atoms, written as extended XYZ:
```
8
Lattice="-1.574 -3.364 -5.036 1.809 -5.227 2.926 -5.676 -5.017 1.238" Properties=species:S:1:pos:R:3 pbc="T T T"
Al 0.117 -4.295 -1.055
Al -1.875 -7.269 1.555
Sn -4.163 -7.001 0.147
Sn -4.058 -11.262 -0.927
Sn -2.171 -3.999 -2.455
Sn -0.491 -4.952 1.492
As -3.566 -6.338 -2.426
As 0.000 0.000 0.000
```

---

Entry 12:
This record from Alexandria via LeMat-Bulk describes a relaxed structure of AlSn2As. The functional is PBE-GGA.

Computed properties:
E_form = 0.2248 eV/atom
DOS(E_F) = 0.694 states/eV/atom
excess energy over the best structure of this formula in the dataset = 0.81 eV per formula unit
DFT total energy = -3.875 eV/atom

Cell and atoms, written as extended XYZ:
```
4
Lattice="2.004 -2.687 3.836 -2.018 0.327 4.666 -2.557 -3.950 1.952" Properties=species:S:1:pos:R:3 pbc="T T T"
Al 0.000 0.000 0.000
As -1.286 -3.155 5.227
Sn -0.643 -1.577 2.614
Sn -1.928 -4.732 7.841
```

---

Entry 13:
This record from Alexandria via LeMat-Bulk describes a relaxed structure of AlSnAs3. The functional is PBE-GGA.

Computed properties:
E_form = 0.3894 eV/atom
DOS(E_F) = 0.851 states/eV/atom
excess energy over the best structure of this formula in the dataset = 0.00 eV per formula unit
DFT total energy = -3.949 eV/atom

Cell and atoms, written as extended XYZ:
```
5
Lattice="-0.146 3.706 -3.221 -4.847 -0.622 -0.497 -0.783 3.163 3.675" Properties=species:S:1:pos:R:3 pbc="T T T"
As -0.073 1.853 -1.610
As -0.391 1.582 1.838
As -2.423 -0.311 -0.248
Al 0.000 0.000 0.000
Sn -2.888 3.123 -0.021
```

---

Entry 14:
This record from Alexandria via LeMat-Bulk describes a relaxed structure of Al2SnAs2. The functional is PBE-GGA.

Computed properties:
E_form = 0.0369 eV/atom
DOS(E_F) = 0.405 states/eV/atom
DFT total energy = -4.121 eV/atom

Cell and atoms, written as extended XYZ:
```
5
Lattice="4.925 0.000 0.000 0.000 4.925 0.000 2.463 2.463 4.476" Properties=species:S:1:pos:R:3 pbc="T T T"
As 4.925 2.463 2.238
As 2.463 4.925 2.238
Sn 0.000 0.000 0.000
Al 4.925 4.925 3.183
Al 2.463 2.463 1.293
```

---

Entry 15:
This record from Alexandria via LeMat-Bulk describes a relaxed structure of AlSnAs. The functional is PBE-GGA.

Computed properties:
E_form = -0.0113 eV/atom
DOS(E_F) = 0.504 states/eV/atom
DFT total energy = -4.143 eV/atom

Cell and atoms, written as extended XYZ:
```
6
Lattice="4.083 0.022 0.343 2.059 3.526 0.343 2.265 1.308 11.591" Properties=species:S:1:pos:R:3 pbc="T T T"
Al 4.540 2.623 5.887
Al 3.046 1.760 9.785
Sn 0.677 0.391 0.958
Sn 4.648 2.685 3.120
As 5.143 2.971 9.315
As 2.443 1.411 6.357
```